Ta2MnCu PBE-GGA optimized geometry; E_form = 0.5 eV/f.u.; calculated total energy = -9.1112 eV per atom; SG = P4mm
1.0
-1.389 1.695 1.765
0.930 -1.513 2.183
6.360 4.666 0.524
Cu Ta Mn
1 2 1
direct
0.000 0.000 0.519
0.000 0.000 0.979
0.500 0.500 0.274
0.500 0.500 0.728

Sr4Pb5Au6 PBE-GGA optimized geometry; E_form = -7.1 eV/f.u.; calculated total energy = -3.4690 eV per atom; SG = Cmc2_1
1.0
-3.796 -2.670 0.691
4.595 0.326 10.576
-8.805 13.401 3.412
Au Sr Pb
12 8 10
direct
0.101 0.202 0.120
0.412 0.825 0.132
0.429 0.858 0.414
0.453 0.905 0.856
0.751 0.501 0.266
0.770 0.540 0.964
0.230 0.460 0.464
0.249 0.499 0.766
0.547 0.095 0.356
0.571 0.142 0.914
0.588 0.175 0.632
0.899 0.798 0.620
0.048 0.096 0.775
0.176 0.352 0.954
0.152 0.305 0.297
0.824 0.648 0.454
0.020 0.040 0.509
0.952 0.904 0.275
0.848 0.695 0.797
0.980 0.960 0.009
0.538 0.076 0.173
0.833 0.666 0.122
0.350 0.699 0.967
0.677 0.354 0.792
0.681 0.362 0.115
0.319 0.638 0.615
0.650 0.301 0.467
0.323 0.646 0.292
0.167 0.334 0.622
0.462 0.924 0.673

Calculated volume (computed, Å³/cell): 62.6 868.8
Total magnetization (computed, μB per formula unit): 3.403 0.000